Li2LaRh | PBE-GGA | relaxed

The space group is R-3m (No. 166, hexagonal axes) and the conventional cell measures 3.0392, 3.0392 and 29.7360 Å, with angles of 90.00, 90.00 and 120.00 degrees. The inequivalent atoms are Li at (0.0000, 0.0000, 0.2302), La at (0.0000, 0.0000, 0.0000) and Rh at (0.0000, 0.0000, 0.5000).

For the density of states at the Fermi level, the calculation gives 10.57 states/eV per cell. As for the formation enthalpy at 0 K: 0.2232 eV/atom. The offset from the most stable computed form is 587 meV/atom.